Below is a relaxed structure of Na4AgBr5, with properties calculated at the PBE-GGA level.

crystal system	monoclinic
formation energy (no corrections)	-1306	meV per atom

CIF file:
```
data_Na4AgBr5
_cell_length_a 4.2357
_cell_length_b 7.3173
_cell_length_c 9.5174
_cell_angle_alpha 74.71
_cell_angle_beta 77.14
_cell_angle_gamma 73.18
_symmetry_space_group_name_H-M 'P 1'
_symmetry_Int_Tables_number 1
_symmetry_space_group_name_Hall 'P 1'
loop_
_atom_site_label
_atom_site_type_symbol
_atom_site_fract_x
_atom_site_fract_y
_atom_site_fract_z
_atom_site_occupancy
Br1 Br 0.7996 0.1020 0.2988 1
Na1 Na 0.3996 0.8027 0.3980 1
Br2 Br 0.0000 0.5000 0.5000 1
Ag1 Ag 0.0000 0.0000 0.0000 1
Na2 Na 0.7996 0.6005 0.8003 1
Br3 Br 0.4034 0.2881 0.9051 1
Br4 Br 0.5966 0.7119 0.0949 1
Br5 Br 0.2004 0.8980 0.7012 1
Na3 Na 0.2004 0.3995 0.1997 1
Na4 Na 0.6004 0.1973 0.6020 1
```